Run A
Below is an optimized crystal structure of TlCrCu2, with properties calculated at the PBE level.

Results
As for the space group: Pmmm. For the mass density, the calculation gives 9.74 Mg/m³. The total magnetic moment is 0.93 μB/atom.

POSCAR file:
```
TlCrCu2
1.0
-0.519 3.175 0.717
-2.001 -0.876 2.428
4.704 -0.099 3.842
Tl Cr Cu
1 1 2
direct
0.500 0.500 0.250
0.500 0.500 0.750
0.000 0.000 0.958
0.000 0.000 0.542
```

Run B
Below is an optimized crystal structure of TlCrCu2, with properties calculated at the PBE level.

Results
As for the space group: P4mm. For the mass density, the calculation gives 9.75 Mg/m³. The total magnetic moment is 0.99 μB/atom.

POSCAR file:
```
TlCrCu2
1.0
3.140 0.000 0.000
0.000 3.140 0.000
0.000 0.000 6.624
Tl Cu Cr
1 2 1
direct
0.000 0.000 0.485
0.000 0.000 0.018
0.500 0.500 0.201
0.500 0.500 0.796
```

Run C
Below is an optimized crystal structure of TlCrCu2, with properties calculated at the PBE level.

Results
As for the space group: I-4m2. For the mass density, the calculation gives 10.02 Mg/m³. The total magnetic moment is 0.94 μB/atom.

POSCAR file:
```
TlCrCu2
1.0
-3.729 0.774 -2.925
-3.907 0.163 2.786
4.160 2.367 0.383
Tl Cu Cr
1 2 1
direct
0.500 0.500 0.000
0.000 0.000 0.000
0.250 0.750 0.500
0.750 0.250 0.500
```

Run D
Below is an optimized crystal structure of TlCrCu2, with properties calculated at the PBE level.

Results
As for the space group: Pm. For the mass density, the calculation gives 9.68 Mg/m³. The total magnetic moment is 0.97 μB/atom.

POSCAR file:
```
TlCrCu2
1.0
-2.202 -3.505 -0.128
0.208 -0.243 3.056
-4.257 2.599 2.071
Cu Tl Cr
2 1 1
direct
0.500 0.064 0.241
0.000 0.195 0.985
0.000 0.454 0.468
0.500 0.787 0.806
```

Least stable structure: run D